An optimized crystal structure of Mg2Mo2O7. Source: the Alexandria database, functional GGA+U.

Cell: 8.070 7.506 10.980 Å, 90.00 108.64 90.00°
Space group C2/c (No. 15)
One atom of each set of equivalent atoms:
Mg1 0.153 0.070 0.464 x8
Mo1 0.239 0.288 0.770 x8
O1 0.000 0.358 0.750 x4
O2 0.106 0.131 0.076 x8
O3 0.216 0.042 0.820 x8
O4 0.217 0.291 0.377 x8

Values from the calculation:
E_tot: -295.57 eV/cell
magnetic moment: 2.00 μB per formula unit